First-principles (PBE) data for a relaxed structure of PmZnCuNi, as listed in Alexandria via LeMat-Bulk.

abc: 4.607 4.607 4.607
angles: 60.00 60.00 60.00
Fractional coordinates of all 4 atoms:
1 Ni 0.250 0.250 0.250
2 Cu 0.750 0.750 0.750
3 Pm 0.000 0.000 0.000
4 Zn 0.500 0.500 0.500

## Properties
* energy above the most stable polymorph in this dataset: 0.1447 eV/atom
* total DFT energy (no corrections): -4.131 eV/atom
* formation energy: -0.1553 eV/atom
* calculated density: 7.99 Mg/m³